Entry 1:
The following is a PBE-GGA calculation of TiMn4W after structural relaxation, from Alexandria via LeMat-Bulk.

a b c (Å): 6.6954 6.6954 6.6954
angles (deg): 90.00 90.00 90.00
Last column: nearest neighbours and their distance in Å.
Space group F-43m (No. 216)
Symmetry-distinct sites (fractional):
Ti (0.0000, 0.0000, 0.0000) (multiplicity 4)  12 Mn 2.77, 4 W 2.90
Mn (0.1259, 0.1259, 0.3741) (multiplicity 16)  6 Mn 2.35-2.39
W (0.2500, 0.2500, 0.7500) (multiplicity 4)  12 Mn 2.78, 4 Ti 2.90

Computed properties:
The uncorrected energy is -9.726 eV/atom. For the size of the total moment, the calculation gives 0.0 Bohr magnetons per cell. For the formation energy, the calculation gives -0.139 eV per atom.

Entry 2:
The following is a PBE-GGA calculation of NaPuInBr6 after structural relaxation, from Alexandria via LeMat-Bulk.

a b c (Å): 7.4794 7.4794 13.6685
angles (deg): 90.00 90.00 120.00
Last column: nearest neighbours and their distance in Å.
Space group P-31c (No. 163)
Symmetry-distinct sites (fractional):
Na (0.3333, 0.6667, 0.2500) (multiplicity 2)  6 Br 3.01
Pu (0.3333, 0.6667, 0.7500) (multiplicity 2)  6 Br 2.79
In (0.0000, 0.0000, 0.0000) (multiplicity 2)  6 Br 3.23
Br (0.0228, 0.3674, 0.6328) (multiplicity 12)  1 Pu 2.79, 1 Na 3.01

Computed properties:
The uncorrected energy is -4.391 eV/atom. For the size of the total moment, the calculation gives 8.0 Bohr magnetons per cell. Its energy relative to the elements, uncorrected is -1.232 eV/atom.

Entry 3:
The following is a PBE-GGA calculation of SrLiLaGe after structural relaxation, from Alexandria via LeMat-Bulk.

a b c (Å): 7.6602 7.6602 7.6602
angles (deg): 90.00 90.00 90.00
Last column: nearest neighbours and their distance in Å.
Space group F-43m (No. 216)
Symmetry-distinct sites (fractional):
Sr (0.0000, 0.0000, 0.0000) (multiplicity 4)  4 Li 3.32, 4 Ge 3.32
Li (0.2500, 0.2500, 0.7500) (multiplicity 4)  4 La 3.32, 4 Sr 3.32
La (0.0000, 0.0000, 0.5000) (multiplicity 4)  4 Ge 3.32, 4 Li 3.32
Ge (0.2500, 0.2500, 0.2500) (multiplicity 4)  4 La 3.32, 4 Sr 3.32

Computed properties:
The uncorrected energy is -3.624 eV/atom. For the size of the total moment, the calculation gives 0.0 Bohr magnetons per cell. For the formation energy, the calculation gives -0.338 eV per atom.

Entry 4:
The following is a PBE-GGA calculation of La4Nd2ErSc after structural relaxation, from Alexandria via LeMat-Bulk.

a b c (Å): 5.1612 5.1939 10.1224
angles (deg): 90.00 90.00 90.00
Last column: nearest neighbours and their distance in Å.
Space group Pmmm (No. 47)
Symmetry-distinct sites (fractional):
La (0.0000, 0.0000, 0.2461) (multiplicity 2)  2 Sc 3.59, 4 Nd 3.60-3.64, 2 Er 3.65, 4 La 3.66
La (0.5000, 0.5000, 0.2464) (multiplicity 2)  4 Nd 3.59-3.65, 2 Sc 3.60, 2 Er 3.64, 4 La 3.66
Nd (0.0000, 0.5000, 0.0000) (multiplicity 1)  8 La 3.59-3.60, 4 Sc 3.66
Nd (0.5000, 0.0000, 0.5000) (multiplicity 1)  8 La 3.64-3.65, 4 Er 3.66
Er (0.0000, 0.5000, 0.5000) (multiplicity 1)  8 La 3.64-3.65, 4 Nd 3.66
Sc (0.5000, 0.0000, 0.0000) (multiplicity 1)  8 La 3.59-3.60, 4 Nd 3.66

Computed properties:
The uncorrected energy is -4.988 eV/atom. For the size of the total moment, the calculation gives 0.0 Bohr magnetons per cell. For the formation energy, the calculation gives 0.030 eV per atom.

Entry 5:
The following is a PBE-GGA calculation of YCrCo2 after structural relaxation, from Alexandria via LeMat-Bulk.

a b c (Å): 6.3003 6.3003 6.3003
angles (deg): 90.00 90.00 90.00
Last column: nearest neighbours and their distance in Å.
Space group F-43m (No. 216)
Symmetry-distinct sites (fractional):
Y (0.0000, 0.0000, 0.0000) (multiplicity 4)  4 Cr 2.73, 4 Co 2.73
Cr (0.2500, 0.2500, 0.7500) (multiplicity 4)  4 Co 2.73, 4 Y 2.73
Co (0.0000, 0.0000, 0.5000) (multiplicity 4)  4 Co 2.73, 4 Cr 2.73
Co (0.2500, 0.2500, 0.2500) (multiplicity 4)  4 Co 2.73, 4 Y 2.73

Computed properties:
The uncorrected energy is -7.139 eV/atom. Its offset from the most stable computed form is 413 meV per atom. For the size of the total moment, the calculation gives 23.8 Bohr magnetons per cell. For the formation energy, the calculation gives 0.436 eV per atom.

Entry 6:
The following is a PBE-GGA calculation of TeP2IrO after structural relaxation, from Alexandria via LeMat-Bulk.

a b c (Å): 4.9482 4.9482 3.7633
angles (deg): 90.00 90.00 90.00
Last column: nearest neighbours and their distance in Å.
Space group P4/mmm (No. 123)
Symmetry-distinct sites (fractional):
Te (0.0000, 0.0000, 0.0000) (multiplicity 1)  2 O 1.88
P (0.0000, 0.5000, 0.0000) (multiplicity 2)  2 Te 2.47
Ir (0.5000, 0.5000, 0.5000) (multiplicity 1)  8 P 3.11
O (0.0000, 0.0000, 0.5000) (multiplicity 1)  2 Te 1.88

Computed properties:
The uncorrected energy is -4.489 eV/atom. Its offset from the most stable computed form is 926 meV per atom. For the size of the total moment, the calculation gives 0.0 Bohr magnetons per cell. Its energy relative to the elements, uncorrected is 1.067 eV/atom.